Density functional theory data (PBEsol) for an optimized crystal structure of Zr2CdNi.

a b c (Å): 2.9825 2.9825 8.1790
angles (deg): 90.00 90.00 90.00
With the nearest neighbours (Å) after each atom.
Sites, in units of the cell vectors:
Zr 0.0000 0.0000 0.2121  4 Ni 2.73, 4 Zr 2.98
Zr 0.0000 0.0000 0.7879  4 Ni 2.73, 4 Zr 2.98
Cd 0.5000 0.5000 0.5000  4 Cd 2.98, 8 Zr 3.16
Ni 0.5000 0.5000 0.0000  8 Zr 2.73, 4 Ni 2.98

Output
Formation energy from the elements ... -5.265 kcal/mol of atoms